No. 1
# TaVO4

TaVO4 at its PBEsol-relaxed geometry (meta-GGA SCAN, Alexandria via LeMat-Bulk).

Geometry as CIF:
```
data_TaVO4
_symmetry_space_group_name_H-M 'P 1'
_symmetry_Int_Tables_number 1
_cell_length_a 5.547
_cell_length_b 5.547
_cell_length_c 5.547
_cell_angle_alpha 106.65
_cell_angle_beta 106.65
_cell_angle_gamma 115.28
loop_
_symmetry_equiv_pos_as_xyz
'x,y,z'
loop_
_atom_site_label
_atom_site_fract_x
_atom_site_fract_y
_atom_site_fract_z
Ta1 0.990 0.490 0.500
Ta2 0.740 0.740 0.000
V1 0.506 0.006 0.500
V2 0.256 0.256 0.000
O1 0.503 0.707 0.205
O2 0.999 0.198 0.198
O3 0.957 0.253 0.705
O4 0.448 0.749 0.698
O5 0.548 0.253 0.295
O6 0.051 0.749 0.302
O7 0.503 0.298 0.795
O8 0.999 0.801 0.802
```

Total magnetic moment in μB/f.u.: 2.0
E_tot in eV/atom: -21.084
Formation energy from raw total energies in eV per atom: -2.918

---

No. 2
# Sc6Si7Ni16

Sc6Si7Ni16 at its PBEsol-relaxed geometry (meta-GGA SCAN, Alexandria via LeMat-Bulk).

Geometry as CIF:
```
data_Sc6Si7Ni16
_symmetry_space_group_name_H-M 'P 1'
_symmetry_Int_Tables_number 1
_cell_length_a 7.992
_cell_length_b 7.992
_cell_length_c 7.992
_cell_angle_alpha 60.00
_cell_angle_beta 60.00
_cell_angle_gamma 60.00
loop_
_symmetry_equiv_pos_as_xyz
'x,y,z'
loop_
_atom_site_label
_atom_site_fract_x
_atom_site_fract_y
_atom_site_fract_z
Sc1 0.292 0.292 0.708
Sc2 0.708 0.292 0.708
Sc3 0.708 0.292 0.292
Sc4 0.708 0.708 0.292
Sc5 0.292 0.708 0.292
Sc6 0.292 0.708 0.708
Si1 0.000 0.000 0.000
Si2 0.500 0.500 0.000
Si3 0.000 0.500 0.000
Si4 0.000 0.500 0.500
Si5 0.000 0.000 0.500
Si6 0.500 0.000 0.500
Si7 0.500 0.000 0.000
Ni1 0.881 0.358 0.881
Ni2 0.881 0.881 0.358
Ni3 0.881 0.881 0.881
Ni4 0.358 0.881 0.881
Ni5 0.119 0.642 0.119
Ni6 0.119 0.119 0.642
Ni7 0.119 0.119 0.119
Ni8 0.642 0.119 0.119
Ni9 0.669 0.993 0.669
Ni10 0.669 0.669 0.993
Ni11 0.669 0.669 0.669
Ni12 0.993 0.669 0.669
Ni13 0.331 0.007 0.331
Ni14 0.331 0.331 0.007
Ni15 0.331 0.331 0.331
Ni16 0.007 0.331 0.331
```

Total magnetic moment in μB/f.u.: 0.0
E_tot in eV/atom: -15.083
Formation energy from raw total energies in eV per atom: -0.797

---

No. 3
# CuTcSbTe2

CuTcSbTe2 at its PBEsol-relaxed geometry (meta-GGA SCAN, Alexandria via LeMat-Bulk).

Geometry as CIF:
```
data_CuTcSbTe2
_symmetry_space_group_name_H-M 'P 1'
_symmetry_Int_Tables_number 1
_cell_length_a 4.864
_cell_length_b 5.037
_cell_length_c 5.037
_cell_angle_alpha 90.00
_cell_angle_beta 90.00
_cell_angle_gamma 90.00
loop_
_symmetry_equiv_pos_as_xyz
'x,y,z'
loop_
_atom_site_label
_atom_site_fract_x
_atom_site_fract_y
_atom_site_fract_z
Sb1 0.500 0.000 0.000
Te1 0.000 0.000 0.500
Te2 0.000 0.500 0.000
Tc1 0.500 0.500 0.500
Cu1 0.000 0.000 0.000
```

Total magnetic moment in μB/f.u.: 3.7
E_tot in eV/atom: -31.382
Formation energy from raw total energies in eV per atom: 1.022

---

No. 4
# MnCu2AuI

MnCu2AuI at its PBEsol-relaxed geometry (meta-GGA SCAN, Alexandria via LeMat-Bulk).

Geometry as CIF:
```
data_MnCu2AuI
_symmetry_space_group_name_H-M 'P 1'
_symmetry_Int_Tables_number 1
_cell_length_a 4.759
_cell_length_b 4.759
_cell_length_c 4.956
_cell_angle_alpha 90.00
_cell_angle_beta 90.00
_cell_angle_gamma 90.00
loop_
_symmetry_equiv_pos_as_xyz
'x,y,z'
loop_
_atom_site_label
_atom_site_fract_x
_atom_site_fract_y
_atom_site_fract_z
I1 0.500 0.500 0.500
Mn1 0.000 0.000 0.500
Au1 0.000 0.000 0.000
Cu1 0.000 0.500 0.000
Cu2 0.500 0.000 0.000
```

Total magnetic moment in μB/f.u.: 4.6
E_tot in eV/atom: -30.417
Formation energy from raw total energies in eV per atom: 0.493

---

No. 5
# TaPtCl2

TaPtCl2 at its PBEsol-relaxed geometry (meta-GGA SCAN, Alexandria via LeMat-Bulk).

Geometry as CIF:
```
data_TaPtCl2
_symmetry_space_group_name_H-M 'P 1'
_symmetry_Int_Tables_number 1
_cell_length_a 2.991
_cell_length_b 5.144
_cell_length_c 5.139
_cell_angle_alpha 118.37
_cell_angle_beta 104.33
_cell_angle_gamma 94.98
loop_
_symmetry_equiv_pos_as_xyz
'x,y,z'
loop_
_atom_site_label
_atom_site_fract_x
_atom_site_fract_y
_atom_site_fract_z
Cl1 0.000 0.000 0.500
Cl2 0.500 0.500 0.500
Pt1 0.000 0.000 0.000
Ta1 0.500 0.500 0.000
```

Total magnetic moment in μB/f.u.: 0.0
Energy above the most stable polymorph in this dataset in meV per atom: 0
E_tot in eV/atom: -38.008
Formation energy from raw total energies in eV per atom: 0.175

---

No. 6
# K2RbTiF6

K2RbTiF6 at its PBEsol-relaxed geometry (meta-GGA SCAN, Alexandria via LeMat-Bulk).

Geometry as CIF:
```
data_K2RbTiF6
_symmetry_space_group_name_H-M 'P 1'
_symmetry_Int_Tables_number 1
_cell_length_a 6.414
_cell_length_b 6.414
_cell_length_c 6.414
_cell_angle_alpha 60.00
_cell_angle_beta 60.00
_cell_angle_gamma 60.00
loop_
_symmetry_equiv_pos_as_xyz
'x,y,z'
loop_
_atom_site_label
_atom_site_fract_x
_atom_site_fract_y
_atom_site_fract_z
K1 0.750 0.750 0.750
K2 0.250 0.250 0.250
F1 0.216 0.784 0.216
F2 0.216 0.216 0.784
F3 0.784 0.784 0.216
F4 0.216 0.784 0.784
F5 0.784 0.216 0.784
F6 0.784 0.216 0.216
Rb1 0.500 0.500 0.500
Ti1 0.000 0.000 0.000
```

Total magnetic moment in μB/f.u.: 1.0
E_tot in eV/atom: -10.630
Formation energy from raw total energies in eV per atom: -3.163

---

No. 7
# OsWNO2

OsWNO2 at its PBEsol-relaxed geometry (meta-GGA SCAN, Alexandria via LeMat-Bulk).

Geometry as CIF:
```
data_OsWNO2
_symmetry_space_group_name_H-M 'P 1'
_symmetry_Int_Tables_number 1
_cell_length_a 3.841
_cell_length_b 3.869
_cell_length_c 3.869
_cell_angle_alpha 90.00
_cell_angle_beta 90.00
_cell_angle_gamma 90.00
loop_
_symmetry_equiv_pos_as_xyz
'x,y,z'
loop_
_atom_site_label
_atom_site_fract_x
_atom_site_fract_y
_atom_site_fract_z
Os1 0.000 0.000 0.000
O1 0.000 0.000 0.500
O2 0.000 0.500 0.000
W1 0.500 0.500 0.500
N1 0.500 0.000 0.000
```

Total magnetic moment in μB/f.u.: 3.2
E_tot in eV/atom: -31.810
Formation energy from raw total energies in eV per atom: 0.854

---

No. 8
# Rb2S2O7

Rb2S2O7 at its PBEsol-relaxed geometry (meta-GGA SCAN, Alexandria via LeMat-Bulk).

Geometry as CIF:
```
data_Rb2S2O7
_symmetry_space_group_name_H-M 'P 1'
_symmetry_Int_Tables_number 1
_cell_length_a 7.598
_cell_length_b 7.659
_cell_length_c 12.915
_cell_angle_alpha 97.65
_cell_angle_beta 91.70
_cell_angle_gamma 93.85
loop_
_symmetry_equiv_pos_as_xyz
'x,y,z'
loop_
_atom_site_label
_atom_site_fract_x
_atom_site_fract_y
_atom_site_fract_z
Rb1 0.129 0.858 0.123
Rb2 0.784 0.379 0.162
Rb3 0.573 0.792 0.348
Rb4 0.223 0.270 0.364
Rb5 0.777 0.730 0.636
Rb6 0.427 0.208 0.652
Rb7 0.216 0.621 0.838
Rb8 0.871 0.142 0.877
S1 0.666 0.863 0.094
S2 0.281 0.371 0.100
S3 0.083 0.737 0.384
S4 0.703 0.284 0.421
S5 0.297 0.716 0.579
S6 0.917 0.263 0.616
S7 0.719 0.629 0.900
S8 0.334 0.137 0.906
O1 0.409 0.259 0.016
O2 0.206 0.503 0.044
O3 0.778 0.008 0.063
O4 0.503 0.913 0.141
O5 0.764 0.748 0.152
O6 0.149 0.241 0.130
O7 0.411 0.438 0.182
O8 0.052 0.595 0.298
O9 0.197 0.885 0.359
O10 0.842 0.210 0.358
O11 0.636 0.443 0.389
O12 0.929 0.786 0.442
O13 0.206 0.632 0.463
O14 0.564 0.155 0.443
O15 0.436 0.845 0.557
O16 0.794 0.368 0.537
O17 0.071 0.214 0.558
O18 0.364 0.557 0.611
O19 0.158 0.790 0.642
O20 0.803 0.115 0.641
O21 0.948 0.405 0.702
O22 0.589 0.562 0.818
O23 0.851 0.759 0.870
O24 0.236 0.252 0.848
O25 0.497 0.087 0.859
O26 0.222 0.992 0.937
O27 0.794 0.497 0.956
O28 0.591 0.741 0.984
```

Total magnetic moment in μB/f.u.: 0.0
E_tot in eV/atom: -11.378
Formation energy from raw total energies in eV per atom: -1.892

---

No. 9
# TaCdIn2

TaCdIn2 at its PBEsol-relaxed geometry (meta-GGA SCAN, Alexandria via LeMat-Bulk).

Geometry as CIF:
```
data_TaCdIn2
_symmetry_space_group_name_H-M 'P 1'
_symmetry_Int_Tables_number 1
_cell_length_a 3.019
_cell_length_b 5.499
_cell_length_c 5.826
_cell_angle_alpha 117.88
_cell_angle_beta 104.55
_cell_angle_gamma 90.96
loop_
_symmetry_equiv_pos_as_xyz
'x,y,z'
loop_
_atom_site_label
_atom_site_fract_x
_atom_site_fract_y
_atom_site_fract_z
Cd1 0.500 0.000 0.000
In1 0.500 0.500 0.500
In2 0.000 0.000 0.500
Ta1 0.000 0.500 0.000
```

Total magnetic moment in μB/f.u.: 0.0
Formation energy from the elements in eV/atom: 0.253
E_tot in eV/atom: -40.689

---

No. 10
# La2AgRh2

La2AgRh2 at its PBEsol-relaxed geometry (meta-GGA SCAN, Alexandria via LeMat-Bulk).

Geometry as CIF:
```
data_La2AgRh2
_symmetry_space_group_name_H-M 'P 1'
_symmetry_Int_Tables_number 1
_cell_length_a 3.862
_cell_length_b 7.490
_cell_length_c 7.490
_cell_angle_alpha 90.00
_cell_angle_beta 90.00
_cell_angle_gamma 90.00
loop_
_symmetry_equiv_pos_as_xyz
'x,y,z'
loop_
_atom_site_label
_atom_site_fract_x
_atom_site_fract_y
_atom_site_fract_z
Rh1 0.000 0.366 0.866
Rh2 0.000 0.866 0.634
Rh3 0.000 0.634 0.134
Rh4 0.000 0.134 0.366
Ag1 0.000 0.000 0.000
Ag2 0.000 0.500 0.500
La1 0.500 0.172 0.672
La2 0.500 0.672 0.828
La3 0.500 0.828 0.328
La4 0.500 0.328 0.172
```

Total magnetic moment in μB/f.u.: 0.0
Formation energy from the elements in eV/atom: -0.624
Energy above the most stable polymorph in this dataset in meV per atom: 0
E_tot in eV/atom: -37.648

---

No. 11
# NaTlGa2Br

NaTlGa2Br at its PBEsol-relaxed geometry (meta-GGA SCAN, Alexandria via LeMat-Bulk).

Geometry as CIF:
```
data_NaTlGa2Br
_symmetry_space_group_name_H-M 'P 1'
_symmetry_Int_Tables_number 1
_cell_length_a 5.243
_cell_length_b 5.243
_cell_length_c 5.913
_cell_angle_alpha 90.00
_cell_angle_beta 90.00
_cell_angle_gamma 90.00
loop_
_symmetry_equiv_pos_as_xyz
'x,y,z'
loop_
_atom_site_label
_atom_site_fract_x
_atom_site_fract_y
_atom_site_fract_z
Na1 0.000 0.000 0.500
Tl1 0.000 0.000 0.000
Ga1 0.000 0.500 0.000
Ga2 0.500 0.000 0.000
Br1 0.500 0.500 0.500
```

Total magnetic moment in μB/f.u.: 0.0
E_tot in eV/atom: -25.720
Formation energy from raw total energies in eV per atom: 0.025

---

no.,Fermi-level density of states (states/eV/f.u.)
1,0.214
2,21.841
3,3.804
4,2.841
5,2.296
6,8.583
7,3.870
8,0.000
9,1.366
10,2.747
11,2.122